K2RhBr4 | PBE-GGA | optimized geometry

Output
Space group: No. 139
Total magnetic moment, μB per formula unit: 0.01
Uncorrected energy, eV/atom: -3.377

Cell lengths 5.2274, 5.2274, 8.8884 Å; angles 72.90, 72.90, 90.00 degrees
Sites, in units of the cell vectors:
1 K 0.6365 0.6365 0.7270
2 K 0.3635 0.3635 0.2730
3 Rh 0.0000 0.0000 0.0000
4 Br 0.8427 0.8427 0.3147
5 Br 0.1573 0.1573 0.6853
6 Br 0.0000 0.5000 0.0000
7 Br 0.5000 0.0000 0.0000